Crystalline Ti2NiAu at its relaxed geometry, computed with GGA-PBE.

The energy of formation from the pure elements is 3.53 kcal/mol of atoms.

The space group is I-42d (No. 122) and the conventional cell measures 3.8263, 3.8263 and 18.0532 Å, with angles of 90.00, 90.00 and 90.00 degrees. The asymmetric unit holds Ti at (0.2408, 0.2500, 0.1250), Ni at (0.0000, 0.0000, 0.0000) and Au at (0.0000, 0.0000, 0.5000).

***

Crystalline TbSmErTh at its relaxed geometry, computed with GGA-PBE.

The energy of formation from the pure elements is 0.25 kcal/mol of atoms.

The space group is R3m (No. 160, hexagonal axes) and the conventional cell measures 3.5921, 3.5921 and 34.5072 Å, with angles of 90.00, 90.00 and 120.00 degrees. The asymmetric unit holds Tb at (0.0000, 0.0000, 0.0000), Sm at (0.0000, 0.0000, 0.7522), Er at (0.0000, 0.0000, 0.1706) and Th at (0.0000, 0.0000, 0.5851).

***

Crystalline Si4P at its relaxed geometry, computed with GGA-PBE.

As for the uncorrected formation energy: 0.93 eV per atom.

The space group is Pm-3m (No. 221) and the conventional cell measures 4.5316, 4.5316 and 4.5316 Å, with angles of 90.00, 90.00 and 90.00 degrees. The asymmetric unit holds Si at (0.0000, 0.0000, 0.0000), Si at (0.0000, 0.5000, 0.5000) and P at (0.5000, 0.5000, 0.5000).

***

Crystalline BaMnV2Ni at its relaxed geometry, computed with GGA-PBE.

The energy of formation from the pure elements is 64.61 kcal/mol of atoms.

The space group is P4/mmm (No. 123) and the conventional cell measures 4.8951, 4.8951 and 4.6708 Å, with angles of 90.00, 90.00 and 90.00 degrees. The asymmetric unit holds Ba at (0.0000, 0.0000, 0.0000), Mn at (0.5000, 0.5000, 0.5000), V at (0.0000, 0.5000, 0.0000) and Ni at (0.0000, 0.0000, 0.5000).

***

Crystalline CrCo3 at its relaxed geometry, computed with GGA-PBE.

The energy of formation from the pure elements is 0.78 kcal/mol of atoms.

The space group is I4/mmm (No. 139) and the conventional cell measures 3.5123, 3.5123 and 14.0603 Å, with angles of 90.00, 90.00 and 90.00 degrees. The asymmetric unit holds Cr at (0.0000, 0.0000, 0.1264), Co at (0.0000, 0.0000, 0.3765), Co at (0.0000, 0.5000, 0.0000) and Co at (0.0000, 0.5000, 0.2500).

***

Crystalline Tb5Bi2Te at its relaxed geometry, computed with GGA-PBE.

As for the uncorrected formation energy: -0.51 eV per atom.

The space group is Cmcm (No. 63) and the conventional cell measures 6.1622, 12.6973 and 13.7450 Å, with angles of 90.00, 90.00 and 90.00 degrees. The asymmetric unit holds Tb at (0.0000, 0.0558, 0.1100), Tb at (0.0000, 0.3607, 0.7500), Tb at (0.0000, 0.3788, 0.0627), Bi at (0.0000, 0.1880, 0.5873) and Te at (0.0000, 0.2396, 0.2500).

***

no.,energy (eV/atom)
1,-6.059
2,-5.322
3,-4.491
4,-4.220
5,-7.701
6,-4.768